[1]
DFT (PBE) results for LaCdTePH after structural relaxation.

Computed properties:
For the density, the calculation gives 5.69 g/cm³. As for the relative energy among the computed polymorphs: 97.4 meV/atom.

The structure in CIF format:
```
data_LaCdTePH
_chemical_formula_sum 'La1 Cd1 Te1 P1 H1'
_cell_length_a 4.328
_cell_length_b 4.431
_cell_length_c 7.175
_cell_angle_alpha 85.98
_cell_angle_beta 89.79
_cell_angle_gamma 60.92
_symmetry_space_group_name_H-M 'P 1'
_symmetry_Int_Tables_number 1
loop_
_symmetry_equiv_pos_as_xyz
'x,y,z'
loop_
_atom_site_label
_atom_site_type_symbol
_atom_site_fract_x
_atom_site_fract_y
_atom_site_fract_z
_atom_site_occupancy
La1 La 0.000 0.000 0.000 1
Cd1 Cd 0.074 0.855 0.540 1
Te1 Te 0.352 0.294 0.294 1
P1 P 0.651 0.700 0.783 1
H1 H 0.815 0.373 0.687 1
```



[2]
DFT (PBE) results for NbCu3Se after structural relaxation.

Computed properties:
For the density, the calculation gives 6.77 g/cm³. For the formation energy (no corrections), the calculation gives 0.92 eV/atom. As for the relative energy among the computed polymorphs: 0.0 meV/atom.

The structure in CIF format:
```
data_NbCu3Se
_chemical_formula_sum 'Nb1 Cu3 Se1'
_cell_length_a 4.463
_cell_length_b 4.463
_cell_length_c 4.463
_cell_angle_alpha 90.00
_cell_angle_beta 90.00
_cell_angle_gamma 90.00
_symmetry_space_group_name_H-M 'P m -3 m'
_symmetry_Int_Tables_number 221
_symmetry_space_group_name_Hall '-P 4 2 3'
loop_
_atom_site_label
_atom_site_type_symbol
_atom_site_fract_x
_atom_site_fract_y
_atom_site_fract_z
_atom_site_occupancy
Nb1 Nb 0.000 0.000 0.000 1
Cu1 Cu 0.000 0.500 0.500 1
Se1 Se 0.500 0.500 0.500 1
```



[3]
DFT (PBE) results for NbCdH after structural relaxation.

Computed properties:
For the density, the calculation gives 8.07 g/cm³. As for the relative energy among the computed polymorphs: 44.8 meV/atom.

The structure in CIF format:
```
data_NbCdH
_chemical_formula_sum 'Nb2 Cd2 H2'
_cell_length_a 2.982
_cell_length_b 5.313
_cell_length_c 5.572
_cell_angle_alpha 96.76
_cell_angle_beta 93.13
_cell_angle_gamma 103.68
_symmetry_space_group_name_H-M 'P -1'
_symmetry_Int_Tables_number 2
loop_
_symmetry_equiv_pos_as_xyz
'x,y,z'
'-x,-y,-z'
loop_
_atom_site_label
_atom_site_type_symbol
_atom_site_fract_x
_atom_site_fract_y
_atom_site_fract_z
_atom_site_occupancy
Nb1 Nb 0.000 0.000 0.000 1
Nb2 Nb 0.500 0.000 0.500 1
Cd1 Cd 0.246 0.513 0.742 1
H1 H 0.459 0.869 0.163 1
```



[4]
DFT (PBE) results for Sc6TcPt5 after structural relaxation.

Computed properties:
For the density, the calculation gives 10.51 g/cm³. The calculated formation energy comes out at -106 kJ/mol of atoms.

The structure in CIF format:
```
data_Sc6TcPt5
_chemical_formula_sum 'Sc12 Tc2 Pt10'
_cell_length_a 4.666
_cell_length_b 13.972
_cell_length_c 6.512
_cell_angle_alpha 90.00
_cell_angle_beta 90.00
_cell_angle_gamma 90.00
_symmetry_space_group_name_H-M 'C m m m'
_symmetry_Int_Tables_number 65
_symmetry_space_group_name_Hall '-C 2 2'
loop_
_atom_site_label
_atom_site_type_symbol
_atom_site_fract_x
_atom_site_fract_y
_atom_site_fract_z
_atom_site_occupancy
Sc1 Sc 0.000 0.000 0.248 1
Sc2 Sc 0.000 0.335 0.249 1
Tc1 Tc 0.000 0.500 0.000 1
Pt1 Pt 0.000 0.165 0.000 1
Pt2 Pt 0.000 0.169 0.500 1
Pt3 Pt 0.000 0.500 0.500 1
```



[5]
DFT (PBE) results for TbSm3Dy4 after structural relaxation.

Computed properties:
For the density, the calculation gives 7.97 g/cm³. The calculated formation energy comes out at 2 kJ/mol of atoms. As for the relative energy among the computed polymorphs: 0.0 meV/atom.

The structure in CIF format:
```
data_TbSm3Dy4
_chemical_formula_sum 'Tb2 Sm6 Dy8'
_cell_length_a 11.411
_cell_length_b 7.297
_cell_length_c 6.304
_cell_angle_alpha 90.00
_cell_angle_beta 90.00
_cell_angle_gamma 90.00
_symmetry_space_group_name_H-M 'P m n 21'
_symmetry_Int_Tables_number 31
loop_
_symmetry_equiv_pos_as_xyz
'x,y,z'
'-x+1/2,-y,z+1/2'
'-x,y,z'
'x+1/2,-y,z+1/2'
loop_
_atom_site_label
_atom_site_type_symbol
_atom_site_fract_x
_atom_site_fract_y
_atom_site_fract_z
_atom_site_occupancy
Tb1 Tb 0.000 0.128 0.000 1
Sm1 Sm 0.000 0.874 0.500 1
Sm2 Sm 0.250 0.126 0.333 1
Dy1 Dy 0.000 0.377 0.500 1
Dy2 Dy 0.000 0.623 0.000 1
Dy3 Dy 0.249 0.377 0.833 1
```



[6]
DFT (PBE) results for LiAl2Tc after structural relaxation.

Computed properties:
For the density, the calculation gives 4.68 g/cm³. The calculated formation energy comes out at -27 kJ/mol of atoms. As for the relative energy among the computed polymorphs: 35.6 meV/atom.

The structure in CIF format:
```
data_LiAl2Tc
_chemical_formula_sum 'Li4 Al8 Tc4'
_cell_length_a 6.087
_cell_length_b 6.087
_cell_length_c 6.087
_cell_angle_alpha 90.00
_cell_angle_beta 90.00
_cell_angle_gamma 90.00
_symmetry_space_group_name_H-M 'F m -3 m'
_symmetry_Int_Tables_number 225
_symmetry_space_group_name_Hall '-F 4 2 3'
loop_
_atom_site_label
_atom_site_type_symbol
_atom_site_fract_x
_atom_site_fract_y
_atom_site_fract_z
_atom_site_occupancy
Li1 Li 0.000 0.000 0.000 1
Al1 Al 0.250 0.250 0.250 1
Tc1 Tc 0.000 0.000 0.500 1
```



[7]
DFT (PBE) results for La2Pr3Nd8 after structural relaxation.

Computed properties:
For the density, the calculation gives 6.40 g/cm³. The calculated formation energy comes out at 20 kJ/mol of atoms. As for the relative energy among the computed polymorphs: 67.4 meV/atom.

The structure in CIF format:
```
data_La2Pr3Nd8
_chemical_formula_sum 'La4 Pr6 Nd16'
_cell_length_a 21.180
_cell_length_b 7.784
_cell_length_c 5.835
_cell_angle_alpha 90.00
_cell_angle_beta 90.08
_cell_angle_gamma 90.00
_symmetry_space_group_name_H-M 'C 1 2/m 1'
_symmetry_Int_Tables_number 12
loop_
_symmetry_equiv_pos_as_xyz
'x,y,z'
'-x,-y,-z'
'-x,y,-z'
'x,-y,z'
'x+1/2,y+1/2,z'
'-x+1/2,-y+1/2,-z'
'-x+1/2,y+1/2,-z'
'x+1/2,-y+1/2,z'
loop_
_atom_site_label
_atom_site_type_symbol
_atom_site_fract_x
_atom_site_fract_y
_atom_site_fract_z
_atom_site_occupancy
La1 La 0.243 0.000 0.497 1
Pr1 Pr 0.000 0.000 0.500 1
Pr2 Pr 0.000 0.288 0.000 1
Nd1 Nd 0.105 0.292 0.500 1
Nd2 Nd 0.133 0.000 0.999 1
Nd3 Nd 0.168 0.500 0.002 1
```



[8]
DFT (PBE) results for PrHo2Au after structural relaxation.

Computed properties:
For the density, the calculation gives 9.77 g/cm³. The calculated formation energy comes out at -40 kJ/mol of atoms. As for the relative energy among the computed polymorphs: 3.0 meV/atom.

The structure in CIF format:
```
data_PrHo2Au
_chemical_formula_sum 'Pr1 Ho2 Au1'
_cell_length_a 3.633
_cell_length_b 3.633
_cell_length_c 8.603
_cell_angle_alpha 90.00
_cell_angle_beta 90.00
_cell_angle_gamma 90.00
_symmetry_space_group_name_H-M 'P 4/m m m'
_symmetry_Int_Tables_number 123
_symmetry_space_group_name_Hall '-P 4 2'
loop_
_atom_site_label
_atom_site_type_symbol
_atom_site_fract_x
_atom_site_fract_y
_atom_site_fract_z
_atom_site_occupancy
Pr1 Pr 0.000 0.000 0.000 1
Ho1 Ho 0.500 0.500 0.301 1
Au1 Au 0.000 0.000 0.500 1
```



Number 1: size of the total moment 0.000 μB/atom, density of states at the Fermi level 0.569 states/eV/atom. Number 2: size of the total moment 0.266 μB/atom, density of states at the Fermi level 0.583 states/eV/atom. Number 3: size of the total moment 0.000 μB/atom, density of states at the Fermi level 0.518 states/eV/atom. Number 4: size of the total moment 0.000 μB/atom, density of states at the Fermi level 0.495 states/eV/atom. Number 5: size of the total moment 0.000 μB/atom, density of states at the Fermi level 1.734 states/eV/atom. Number 6: size of the total moment 0.000 μB/atom, density of states at the Fermi level 0.478 states/eV/atom. Number 7: size of the total moment 0.000 μB/atom, density of states at the Fermi level 1.661 states/eV/atom. Number 8: size of the total moment 0.000 μB/atom, density of states at the Fermi level 1.400 states/eV/atom.